(i)
# ScTaSi2

An optimized crystal structure of ScTaSi2 (PBE, Alexandria).

Structure (CIF):
```
data_ScTaSi2
_cell_length_a 3.169
_cell_length_b 3.612
_cell_length_c 6.067
_cell_angle_alpha 90.00
_cell_angle_beta 101.05
_cell_angle_gamma 90.00
_symmetry_space_group_name_H-M 'P 1 2/m 1'
_symmetry_Int_Tables_number 10
loop_
_symmetry_equiv_pos_as_xyz
'x,y,z'
'-x,-y,-z'
'-x,y,-z'
'x,-y,z'
loop_
_atom_site_label
_atom_site_fract_x
_atom_site_fract_y
_atom_site_fract_z
_atom_site_occupancy
Sc1 0.000 0.000 0.000 1
Ta1 0.000 0.000 0.500 1
Si1 0.465 0.500 0.287 1
```

Calculated values
N(E_F): 1.86 states/eV/cell

---

(ii)
# ScTaSi2

An optimized crystal structure of ScTaSi2 (PBE, Alexandria).

Structure (CIF):
```
data_ScTaSi2
_cell_length_a 3.0505
_cell_length_b 3.0505
_cell_length_c 26.0744
_cell_angle_alpha 90.00
_cell_angle_beta 90.00
_cell_angle_gamma 120.00
_symmetry_space_group_name_H-M 'R 3 m'
_symmetry_Int_Tables_number 160
_symmetry_space_group_name_Hall 'R 3 -2"'
loop_
_atom_site_label
_atom_site_fract_x
_atom_site_fract_y
_atom_site_fract_z
_atom_site_occupancy
Sc1 0.0000 0.0000 0.0000 1
Ta1 0.0000 0.0000 0.2391 1
Si1 0.0000 0.0000 0.4917 1
Si2 0.0000 0.0000 0.7545 1
```

Calculated values
N(E_F): 9.23 states/eV/cell

---

Name the least stable of them. (ii).

---

(i)
# ScTa3Si

An optimized crystal structure of ScTa3Si (PBE, Alexandria).

Structure (CIF):
```
data_ScTa3Si
_cell_length_a 4.697
_cell_length_b 4.697
_cell_length_c 4.697
_cell_angle_alpha 90.00
_cell_angle_beta 90.00
_cell_angle_gamma 90.00
_symmetry_space_group_name_H-M 'P m -3 m'
_symmetry_Int_Tables_number 221
_symmetry_space_group_name_Hall '-P 4 2 3'
loop_
_atom_site_label
_atom_site_fract_x
_atom_site_fract_y
_atom_site_fract_z
_atom_site_occupancy
Sc1 0.000 0.000 0.000 1
Ta1 0.000 0.000 0.500 1
Si1 0.500 0.500 0.500 1
```

Calculated values
N(E_F): 3.92 states/eV/cell

---

(ii)
# ScTa3Si

An optimized crystal structure of ScTa3Si (PBE, Alexandria).

Structure (CIF):
```
data_ScTa3Si
_cell_length_a 4.712
_cell_length_b 4.712
_cell_length_c 4.712
_cell_angle_alpha 90.00
_cell_angle_beta 90.00
_cell_angle_gamma 90.00
_symmetry_space_group_name_H-M 'P m -3 m'
_symmetry_Int_Tables_number 221
_symmetry_space_group_name_Hall '-P 4 2 3'
loop_
_atom_site_label
_atom_site_fract_x
_atom_site_fract_y
_atom_site_fract_z
_atom_site_occupancy
Sc1 0.000 0.000 0.000 1
Ta1 0.000 0.500 0.500 1
Si1 0.500 0.500 0.500 1
```

Calculated values
N(E_F): 4.85 states/eV/cell

---

Name the least stable of them. (i).

---

(i)
# TbSc2Si

An optimized crystal structure of TbSc2Si (PBE, Alexandria).

Structure (CIF):
```
data_TbSc2Si
_cell_length_a 3.3271
_cell_length_b 3.3271
_cell_length_c 30.9698
_cell_angle_alpha 90.00
_cell_angle_beta 90.00
_cell_angle_gamma 120.00
_symmetry_space_group_name_H-M 'R -3 m'
_symmetry_Int_Tables_number 166
_symmetry_space_group_name_Hall '-R 3 2"'
loop_
_atom_site_label
_atom_site_fract_x
_atom_site_fract_y
_atom_site_fract_z
_atom_site_occupancy
Tb1 0.0000 0.0000 0.0000 1
Sc1 0.0000 0.0000 0.1055 1
Si1 0.0000 0.0000 0.5000 1
```

Calculated values
N(E_F): 16.88 states/eV/cell

---

(ii)
# TbSc2Si

An optimized crystal structure of TbSc2Si (PBE, Alexandria).

Structure (CIF):
```
data_TbSc2Si
_cell_length_a 4.418
_cell_length_b 4.418
_cell_length_c 4.442
_cell_angle_alpha 90.00
_cell_angle_beta 90.00
_cell_angle_gamma 90.00
_symmetry_space_group_name_H-M 'P 4/m m m'
_symmetry_Int_Tables_number 123
_symmetry_space_group_name_Hall '-P 4 2'
loop_
_atom_site_label
_atom_site_fract_x
_atom_site_fract_y
_atom_site_fract_z
_atom_site_occupancy
Tb1 0.000 0.000 0.000 1
Sc1 0.000 0.500 0.500 1
Si1 0.500 0.500 0.000 1
```

Calculated values
N(E_F): 4.94 states/eV/cell

---

Name the least stable of them. (i).

---

(i)
# ScSi3Tc

An optimized crystal structure of ScSi3Tc (PBE, Alexandria).

Structure (CIF):
```
data_ScSi3Tc
_cell_length_a 4.625
_cell_length_b 4.625
_cell_length_c 4.625
_cell_angle_alpha 90.00
_cell_angle_beta 90.00
_cell_angle_gamma 90.00
_symmetry_space_group_name_H-M 'P m -3 m'
_symmetry_Int_Tables_number 221
_symmetry_space_group_name_Hall '-P 4 2 3'
loop_
_atom_site_label
_atom_site_fract_x
_atom_site_fract_y
_atom_site_fract_z
_atom_site_occupancy
Sc1 0.000 0.000 0.000 1
Si1 0.000 0.500 0.500 1
Tc1 0.500 0.500 0.500 1
```

Calculated values
N(E_F): 4.08 states/eV/cell

---

(ii)
# ScSi3Tc

An optimized crystal structure of ScSi3Tc (PBE, Alexandria).

Structure (CIF):
```
data_ScSi3Tc
_cell_length_a 4.887
_cell_length_b 4.887
_cell_length_c 4.887
_cell_angle_alpha 90.00
_cell_angle_beta 90.00
_cell_angle_gamma 90.00
_symmetry_space_group_name_H-M 'P m -3 m'
_symmetry_Int_Tables_number 221
_symmetry_space_group_name_Hall '-P 4 2 3'
loop_
_atom_site_label
_atom_site_fract_x
_atom_site_fract_y
_atom_site_fract_z
_atom_site_occupancy
Sc1 0.000 0.000 0.000 1
Si1 0.000 0.000 0.500 1
Tc1 0.500 0.500 0.500 1
```

Calculated values
N(E_F): 3.36 states/eV/cell

---

Name the least stable of them. (ii).

---

(i)
# Sc2Si4Tc3

An optimized crystal structure of Sc2Si4Tc3 (PBE, Alexandria).

Structure (CIF):
```
data_Sc2Si4Tc3
_cell_length_a 5.321
_cell_length_b 9.020
_cell_length_c 12.175
_cell_angle_alpha 90.00
_cell_angle_beta 90.00
_cell_angle_gamma 90.00
_symmetry_space_group_name_H-M 'F m m m'
_symmetry_Int_Tables_number 69
_symmetry_space_group_name_Hall '-F 2 2'
loop_
_atom_site_label
_atom_site_fract_x
_atom_site_fract_y
_atom_site_fract_z
_atom_site_occupancy
Sc1 0.000 0.000 0.135 1
Si1 0.000 0.171 0.335 1
Tc1 0.000 0.000 0.500 1
Tc2 0.250 0.250 0.000 1
```

Calculated values
N(E_F): 28.07 states/eV/cell

---

(ii)
# Sc2Si4Tc3

An optimized crystal structure of Sc2Si4Tc3 (PBE, Alexandria).

Structure (CIF):
```
data_Sc2Si4Tc3
_cell_length_a 6.664
_cell_length_b 6.630
_cell_length_c 6.534
_cell_angle_alpha 90.00
_cell_angle_beta 109.66
_cell_angle_gamma 90.00
_symmetry_space_group_name_H-M 'P 1 21/c 1'
_symmetry_Int_Tables_number 14
loop_
_symmetry_equiv_pos_as_xyz
'x,y,z'
'-x,-y,-z'
'-x,y+1/2,-z+1/2'
'x,-y+1/2,z+1/2'
loop_
_atom_site_label
_atom_site_fract_x
_atom_site_fract_y
_atom_site_fract_z
_atom_site_occupancy
Sc1 0.192 0.168 0.059 1
Si1 0.098 0.545 0.871 1
Si2 0.494 0.639 0.634 1
Tc1 0.234 0.651 0.257 1
Tc2 0.500 0.000 0.500 1
```

Calculated values
N(E_F): 7.60 states/eV/cell

---

Name the least stable of them. (i).

---

(i)
# ScSiTc3

An optimized crystal structure of ScSiTc3 (PBE, Alexandria).

Structure (CIF):
```
data_ScSiTc3
_cell_length_a 4.590
_cell_length_b 4.590
_cell_length_c 4.590
_cell_angle_alpha 90.00
_cell_angle_beta 90.00
_cell_angle_gamma 90.00
_symmetry_space_group_name_H-M 'P m -3 m'
_symmetry_Int_Tables_number 221
_symmetry_space_group_name_Hall '-P 4 2 3'
loop_
_atom_site_label
_atom_site_fract_x
_atom_site_fract_y
_atom_site_fract_z
_atom_site_occupancy
Sc1 0.000 0.000 0.000 1
Si1 0.500 0.500 0.500 1
Tc1 0.000 0.000 0.500 1
```

Calculated values
N(E_F): 4.34 states/eV/cell

---

(ii)
# ScSiTc3

An optimized crystal structure of ScSiTc3 (PBE, Alexandria).

Structure (CIF):
```
data_ScSiTc3
_cell_length_a 4.457
_cell_length_b 4.457
_cell_length_c 4.457
_cell_angle_alpha 90.00
_cell_angle_beta 90.00
_cell_angle_gamma 90.00
_symmetry_space_group_name_H-M 'P m -3 m'
_symmetry_Int_Tables_number 221
_symmetry_space_group_name_Hall '-P 4 2 3'
loop_
_atom_site_label
_atom_site_fract_x
_atom_site_fract_y
_atom_site_fract_z
_atom_site_occupancy
Sc1 0.000 0.000 0.000 1
Si1 0.500 0.500 0.500 1
Tc1 0.000 0.500 0.500 1
```

Calculated values
N(E_F): 5.23 states/eV/cell

---

Name the least stable of them. (i).